Model a:
Computed, not measured: a relaxed structure of LiSiNi6 at the GGA-PBE level of DFT. Values from VASP.

As for the space group: No. 65.

The structure in Quantum ESPRESSO input format:
```
&SYSTEM
  ibrav = 0, nat = 32, ntyp = 3
/
ATOMIC_SPECIES
Si 28.09 Si.upf
Ni 58.69 Ni.upf
Li 6.94 Li.upf
ATOMIC_POSITIONS angstrom
Si 0.0000 0.0000 9.9034
Ni -0.0021 4.3095 4.9405
Li 2.0334 2.8647 0.0027
Ni -0.0254 2.1207 3.7125
Li 4.0290 1.4481 7.4569
Ni 4.0689 1.4198 4.9405
Ni 4.0737 3.6060 8.7124
Si 0.0000 0.0000 5.0104
Ni -0.0021 4.3095 0.0308
Ni -0.0069 2.1234 6.2014
Ni 4.0689 1.4198 0.0308
Ni 2.0068 0.6940 8.7124
Ni -0.0069 2.1234 8.7124
Ni 2.0565 5.0537 1.2588
Li 2.0334 2.8647 4.9686
Ni 0.0000 0.0000 7.4569
Ni 2.0334 2.8647 2.4856
Ni 2.0068 0.6940 6.2014
Ni 2.0334 2.8647 7.4569
Ni 2.0565 5.0537 3.7125
Ni -0.0254 2.1207 1.2588
Ni 4.0922 3.6086 3.7125
Si 0.0850 4.2477 2.4856
Ni 4.0922 3.6086 1.2588
Li 0.0378 4.2812 7.4569
Ni 2.0600 5.0353 6.2014
Ni 4.0737 3.6060 6.2014
Ni 0.0000 0.0000 2.4856
Ni 2.0600 5.0353 8.7124
Ni 2.0103 0.6757 1.2588
Si 3.9818 1.4816 2.4856
Ni 2.0103 0.6757 3.7125
CELL_PARAMETERS angstrom
6.0805 -0.0081 0.0000
-2.0137 5.7374 0.0000
0.0000 0.0000 9.9425
```

***

Model b:
Computed, not measured: a relaxed structure of LiSiNi6 at the GGA-PBE level of DFT. Values from VASP.

As for the space group: No. 166.

The structure in Quantum ESPRESSO input format:
```
&SYSTEM
  ibrav = 0, nat = 8, ntyp = 3
/
ATOMIC_SPECIES
Ni 58.69 Ni.upf
Si 28.09 Si.upf
Li 6.94 Li.upf
ATOMIC_POSITIONS angstrom
Ni 0.7860 0.8771 2.7675
Si 0.0000 0.0000 0.0000
Ni 2.5374 1.0695 1.2098
Ni 2.4305 4.4742 5.0609
Ni 4.1820 4.6666 3.5032
Ni 4.1820 2.9046 5.0609
Ni 0.7860 2.6391 1.2098
Li 2.4840 2.7719 3.1354
CELL_PARAMETERS angstrom
4.6974 0.6522 0.7377
0.1353 4.7406 0.7377
0.1353 0.1509 4.7953
```

***

Verdict on stability: model b comes out at the bottom.